## Pr2Zn3Pb (PBE-GGA)

Data for a geometry-optimized Pr2Zn3Pb structure.

Calculated values
DOS at the Fermi energy (states/eV/atom): 0.759
Calculated formation energy (eV/f.u.): -2.35
Total DFT energy (no corrections) (eV/cell): -155.5
Theoretical density (kg/m³): 7769

a = 7.731 Å, b = 9.359 Å, c = 16.194 Å
α = 90.00°, β = 90.00°, γ = 90.00°
Space group Fmmm (No. 69)
One atom of each set of equivalent atoms:
Pr  0.243  0.000  0.000 (multiplicity 8)
Pr  0.250  0.250  0.250 (multiplicity 8)
Zn  0.000  0.000  0.160 (multiplicity 8)
Zn  0.000  0.241  0.079 (multiplicity 16)
Pb  0.000  0.000  0.335 (multiplicity 8)